Below is crystalline ZnCd2Cu at its relaxed geometry, with properties calculated at the PBEsol level.

Cell and atoms, written as extended XYZ:
```
4
Lattice="3.008 0.000 0.000 0.000 3.249 0.000 0.000 0.000 6.699" Properties=species:S:1:pos:R:3 pbc="T T T"
Zn 0.000 0.000 0.000
Cd 0.000 0.000 3.857
Cd 1.504 1.625 1.787
Cu 1.504 1.625 5.531
```

Summary:
Total moment in μB per cell: 0.00
Energy of formation in eV per atom: 0.03
Calculated volume in Å³ per atom: 16.4
Raw total energy in eV per atom: -2.0482